Record 1
The following is a PBE calculation of Rb3YTa2O9 after structural relaxation, from Alexandria via LeMat-Bulk.

Structure (POSCAR):
```
Rb3YTa2O9
1.0
-1.5504 -4.2489 -3.9220
4.7540 -0.7947 3.5506
-4.3116 -3.1124 5.0762
Ta O Rb Y
2 9 3 1
Cartesian
-3.0396 -5.6895 2.7964
1.9316 -2.4665 1.9085
-2.6651 -3.7851 2.7212
1.6018 -2.5218 -0.1857
-0.7752 -2.1245 -1.9610
0.0595 -2.0130 2.1574
2.2819 -2.3845 3.8172
2.3770 -0.3973 1.7753
1.5571 -4.3708 1.9838
-1.1675 -6.1429 2.5476
-3.3899 -5.7714 0.8877
-0.2193 -4.0191 4.4409
-0.8887 -4.1368 0.2640
0.0000 0.0000 0.0000
-2.1558 -1.5562 2.5381
```

## Properties
Uncorrected formation energy in eV/atom: -2.4002
Spin magnetization in μB/cell: 2.1
Space-group type: P-3m1, No. 164
Density in Mg/m³: 6.19

---

Record 2
The following is a PBE calculation of Rb3Y3TaO8 after structural relaxation, from Alexandria via LeMat-Bulk.

Structure (POSCAR):
```
Rb3Y3TaO8
1.0
6.8406 -0.0003 0.0008
-3.4206 5.9238 -0.0220
0.0010 -3.9254 6.7208
Ta Rb O Y
1 3 8 3
Cartesian
0.0005 -1.9627 3.3604
-1.7103 2.9619 -0.0110
0.0000 0.0000 0.0000
1.7100 2.9617 -0.0106
1.5284 -1.0845 2.2924
-1.8918 3.0832 4.4070
3.4201 2.1923 2.2802
0.0009 -0.1942 4.4194
5.3128 -1.0851 2.2926
3.4207 0.0160 4.5233
0.0003 1.9821 2.1764
1.8926 3.0826 4.4072
1.7105 0.9990 3.3498
-1.7098 0.9992 3.3494
3.4208 -1.9629 3.3608
```

## Properties
Uncorrected formation energy in eV/atom: -2.6734
Spin magnetization in μB/cell: 0.0
Space-group type: R-3m, No. 166
Density in Mg/m³: 5.08